A geometry-optimized Zr5AlCu2 structure, computed with PBE.

Cell and atoms, written as extended XYZ:
```
16
Lattice="4.832 0.000 0.000 0.000 5.744 0.000 0.000 0.000 11.283" Properties=species:S:1:pos:R:3 pbc="T T T"
Al 0.000 2.872 0.000
Al 0.000 0.000 5.642
Zr 0.000 4.671 3.011
Zr 0.000 3.945 8.653
Zr 2.416 5.012 7.063
Zr 0.000 1.073 8.272
Zr 0.000 0.000 0.000
Zr 2.416 3.604 1.422
Zr 2.416 0.732 4.220
Zr 0.000 2.872 5.642
Zr 2.416 2.140 9.862
Zr 0.000 1.799 2.630
Cu 2.416 3.509 4.311
Cu 2.416 2.235 6.972
Cu 2.416 5.107 9.953
Cu 2.416 0.637 1.330
```

Calculated values
- energy of formation (eV/atom) = -0.08
- calculated density (g/cm3) = 6.47
- excess energy over the best structure of this formula in the dataset (kJ/mol of atoms) = 12.7
- space group = Pbam, No. 55

=====

A geometry-optimized Zr2AlCu2 structure, computed with PBE.

Cell and atoms, written as extended XYZ:
```
5
Lattice="2.242 0.659 -3.469 -4.145 0.558 -0.051 0.752 5.734 1.576" Properties=species:S:1:pos:R:3 pbc="T T T"
Al 0.000 0.000 0.000
Zr 0.618 4.473 -1.272
Zr -1.768 2.478 -0.672
Cu 0.221 1.448 -2.104
Cu -1.372 5.504 0.160
```

Calculated values
- energy of formation (eV/atom) = -0.10
- calculated density (g/cm3) = 6.15
- space group = P-3m1, No. 164

=====

A geometry-optimized Zr3AlCu structure, computed with PBE.

Cell and atoms, written as extended XYZ:
```
15
Lattice="-0.290 2.816 -6.040 -6.352 -1.946 -0.602 -2.016 5.725 2.766" Properties=species:S:1:pos:R:3 pbc="T T T"
Zr -2.219 3.046 -4.081
Zr -3.273 6.037 -2.635
Zr -6.439 3.549 0.205
Zr -5.538 2.029 -4.395
Zr -4.329 3.297 -1.938
Zr -3.121 4.566 0.520
Zr -5.386 0.558 -1.240
Zr -2.067 1.575 -0.925
Zr -6.591 5.020 -2.950
Cu -0.145 1.408 -3.020
Cu -3.176 -0.973 -0.301
Cu -1.008 2.862 1.383
Al -4.184 1.889 1.082
Al -3.321 0.435 -3.321
Al -1.153 4.270 -1.637
```

Calculated values
- energy of formation (eV/atom) = -0.15
- calculated density (g/cm3) = 6.11
- excess energy over the best structure of this formula in the dataset (kJ/mol of atoms) = 0.0
- space group = Pm-3m, No. 221

=====

A geometry-optimized Zr2AlCu2 structure, computed with PBE.

Cell and atoms, written as extended XYZ:
```
10
Lattice="-3.691 -1.898 3.452 0.563 -4.732 2.537 1.679 -0.150 8.267" Properties=species:S:1:pos:R:3 pbc="T T T"
Cu -0.374 -1.727 7.277
Cu -1.295 -4.422 11.339
Cu -0.154 -2.358 2.916
Cu -1.075 -5.053 6.978
Zr -0.277 -5.122 3.536
Zr 1.175 -3.706 5.901
Zr -2.624 -3.074 8.355
Zr -1.172 -1.658 10.720
Al 0.226 -3.780 9.080
Al -1.674 -2.999 5.175
```

Calculated values
- energy of formation (eV/atom) = -0.14
- calculated density (g/cm3) = 6.54
- space group = C2/c, No. 15

=====

Q: Look up the energy of formation of the second one.
A: -0.10 eV/atom

=====

Q: The highest energy of formation belongs to which entry?
A: Zr5AlCu2